(1)
VASP calculation (PBE-GGA) on an optimized crystal structure of Na2HoSn3Se6.

Unit cell a=7.3034 b=7.3034 c=7.3565 alpha=99.49 beta=99.49 gamma=120.04
Fractional coordinates of all 12 atoms:
Na (0.1675, 0.8325, 0.0000)
Na (0.8325, 0.1675, 0.0000)
Ho (0.5000, 0.5000, 0.0000)
Sn (0.0000, 0.0000, 0.5000)
Sn (0.3368, 0.6632, 0.5000)
Sn (0.6632, 0.3368, 0.5000)
Se (0.1033, 0.4154, 0.7565)
Se (0.2683, 0.2683, 0.2540)
Se (0.4154, 0.1033, 0.7565)
Se (0.5846, 0.8967, 0.2435)
Se (0.7317, 0.7317, 0.7460)
Se (0.8967, 0.5846, 0.2435)

Results
Symmetry: No. 12
Uncorrected energy: -51.00 eV for the cell shown
Density of states at the Fermi level: 4.53 states/eV/f.u.
Formation energy (no corrections): -906 meV/atom

(2)
VASP calculation (PBE-GGA) on an optimized crystal structure of Na4Ho3SnSe8.

Unit cell a=8.4803 b=8.4803 c=8.4803 alpha=58.38 beta=58.38 gamma=58.38
Fractional coordinates of all 16 atoms:
Na (0.0000, 0.0000, 0.0000)
Na (0.0000, 0.5000, 0.5000)
Na (0.5000, 0.0000, 0.5000)
Na (0.5000, 0.5000, 0.0000)
Ho (0.0000, 0.0000, 0.5000)
Ho (0.0000, 0.5000, 0.0000)
Ho (0.5000, 0.0000, 0.0000)
Sn (0.5000, 0.5000, 0.5000)
Se (0.2419, 0.7429, 0.7429)
Se (0.2429, 0.2429, 0.2429)
Se (0.2571, 0.2571, 0.7581)
Se (0.2571, 0.7581, 0.2571)
Se (0.7429, 0.2419, 0.7429)
Se (0.7429, 0.7429, 0.2419)
Se (0.7571, 0.7571, 0.7571)
Se (0.7581, 0.2571, 0.2571)

Results
Symmetry: No. 166
Uncorrected energy: -74.02 eV for the cell shown
Density of states at the Fermi level: 1.39 states/eV/f.u.
Formation energy (no corrections): -1446 meV/atom

(3)
VASP calculation (PBE-GGA) on an optimized crystal structure of NaSr4Ho3Se8.

Unit cell a=8.5393 b=8.5393 c=8.5393 alpha=59.64 beta=59.64 gamma=59.64
Fractional coordinates of all 16 atoms:
Na (0.0000, 0.0000, 0.0000)
Sr (0.0000, 0.0000, 0.5000)
Sr (0.0000, 0.5000, 0.0000)
Sr (0.5000, 0.0000, 0.0000)
Sr (0.5000, 0.5000, 0.5000)
Ho (0.0000, 0.5000, 0.5000)
Ho (0.5000, 0.0000, 0.5000)
Ho (0.5000, 0.5000, 0.0000)
Se (0.2466, 0.2466, 0.7359)
Se (0.2466, 0.7359, 0.2466)
Se (0.2572, 0.2572, 0.2572)
Se (0.2641, 0.7534, 0.7534)
Se (0.7359, 0.2466, 0.2466)
Se (0.7428, 0.7428, 0.7428)
Se (0.7534, 0.2641, 0.7534)
Se (0.7534, 0.7534, 0.2641)

Results
Symmetry: No. 166
Uncorrected energy: -79.50 eV for the cell shown
Density of states at the Fermi level: 4.12 states/eV/f.u.
Formation energy (no corrections): -1865 meV/atom